TlCd2Hg | Alexandria | GGA-PBEsol | optimized geometry; Fermi-level density of states = 0.39 states/eV/atom; energy relative to the lowest polymorph listed for this composition = 0.016 eV per atom; VASP energy = -1.3638 eV per atom; energy of formation from the pure elements = 0.034 eV per atom
1.0
3.2032 0.0000 0.0000
0.0000 4.3675 0.0000
0.0000 0.0000 6.6673
Cd Tl Hg
2 1 1
direct
0.0000 0.0000 0.0188
0.5000 0.5000 0.2490
0.5000 0.5000 0.7530
0.0000 0.0000 0.4792